[1]
The following is a DFT calculation (GGA-PBEsol) of a relaxed structure of Tm4Co3.

It has space group P-3 (No. 147), with a = 10.9014 Å, b = 10.9014 Å, c = 3.9103 Å, α = 90.00°, β = 90.00° and γ = 120.00°. The inequivalent atoms are Tm at (0.0237, 0.7781, 0.2498), Tm at (0.1346, 0.5142, 0.2513), Co at (0.0000, 0.0000, 0.5000), Co at (0.1552, 0.7187, 0.7484) and Co at (0.3333, 0.6667, 0.7524).

Its crystal system is trigonal. The calculation puts the density of states at the Fermi level at 14.10 states/eV per cell. The formation energy is -0.224 eV per atom.


[2]
The following is a DFT calculation (GGA-PBEsol) of a relaxed structure of UCo.

It has space group I2_13 (No. 199), with a = 6.213 Å, b = 6.213 Å, c = 6.213 Å, α = 90.00°, β = 90.00° and γ = 90.00°. The inequivalent atoms are U at (0.035, 0.035, 0.035) and Co at (0.202, 0.298, 0.702).

Its crystal system is cubic. The calculation puts the density of states at the Fermi level at 18.57 states/eV per cell. The formation energy is -0.271 eV per atom.


[3]
The following is a DFT calculation (GGA-PBEsol) of a relaxed structure of V3Co.

It has space group Pm-3n (No. 223), with a = 4.588 Å, b = 4.588 Å, c = 4.588 Å, α = 90.00°, β = 90.00° and γ = 90.00°. The inequivalent atoms are V at (0.000, 0.250, 0.500) and Co at (0.000, 0.000, 0.000).

Its crystal system is cubic. The calculation puts the density of states at the Fermi level at 4.98 states/eV per cell. The formation energy is -0.218 eV per atom.


[4]
The following is a DFT calculation (GGA-PBEsol) of a relaxed structure of V2Co9W.

It has space group R3m (No. 160, hexagonal axes), with a = 4.9555 Å, b = 4.9555 Å, c = 18.0200 Å, α = 90.00°, β = 90.00° and γ = 120.00°. The inequivalent atoms are V at (0.0000, 0.0000, 0.0000), V at (0.0000, 0.0000, 0.2180), Co at (0.0036, 0.5018, 0.9989), Co at (0.0109, 0.5055, 0.2236), Co at (0.1711, 0.3422, 0.1105) and W at (0.0000, 0.0000, 0.7803).

Its crystal system is trigonal. The calculation puts the density of states at the Fermi level at 27.49 states/eV per cell. The formation energy is -0.187 eV per atom.


[5]
The following is a DFT calculation (GGA-PBEsol) of a relaxed structure of ZrVCo.

It has space group Amm2 (No. 38), with a = 8.275 Å, b = 5.043 Å, c = 8.341 Å, α = 90.00°, β = 90.00° and γ = 90.00°. The inequivalent atoms are Zr at (0.180, 0.000, 0.000), Zr at (0.301, 0.000, 0.336), V at (0.000, 0.000, 0.521), V at (0.500, 0.000, 0.840), V at (0.500, 0.248, 0.084), Co at (0.000, 0.246, 0.264) and Co at (0.246, 0.000, 0.667).

Its crystal system is orthorhombic. The calculation puts the density of states at the Fermi level at 23.74 states/eV per cell. The formation energy is -0.242 eV per atom.


[6]
The following is a DFT calculation (GGA-PBEsol) of a relaxed structure of Zr2VCo3.

It has space group R-3m (No. 166, hexagonal axes), with a = 5.0158 Å, b = 5.0158 Å, c = 11.3457 Å, α = 90.00°, β = 90.00° and γ = 120.00°. The inequivalent atoms are Zr at (0.0000, 0.0000, 0.1261), V at (0.0000, 0.0000, 0.5000) and Co at (0.0000, 0.5000, 0.0000).

Its crystal system is trigonal. The calculation puts the density of states at the Fermi level at 16.04 states/eV per cell. The formation energy is -0.364 eV per atom.


[7]
The following is a DFT calculation (GGA-PBEsol) of a relaxed structure of Co24W5.

It has space group I-43m (No. 217), with a = 8.644 Å, b = 8.644 Å, c = 8.644 Å, α = 90.00°, β = 90.00° and γ = 90.00°. The inequivalent atoms are Co at (0.038, 0.360, 0.360), Co at (0.092, 0.092, 0.283), W at (0.000, 0.000, 0.000) and W at (0.183, 0.183, 0.817).

Its crystal system is cubic. The calculation puts the density of states at the Fermi level at 58.01 states/eV per cell. The formation energy is 0.021 eV per atom.


[8]
The following is a DFT calculation (GGA-PBEsol) of a relaxed structure of Co7W.

It has space group Fm-3m (No. 225), with a = 7.028 Å, b = 7.028 Å, c = 7.028 Å, α = 90.00°, β = 90.00° and γ = 90.00°. The inequivalent atoms are Co at (0.000, 0.000, 0.000), Co at (0.000, 0.250, 0.250) and W at (0.000, 0.000, 0.500).

Its crystal system is cubic. The calculation puts the density of states at the Fermi level at 32.42 states/eV per cell. The formation energy is 0.044 eV per atom.


Listing total DFT energy (no corrections) for the structures above in their given order: -6.34, -10.22, -9.38, -8.75, -9.06, -8.87, -8.76, -8.45 eV per atom.
Listing calculated volume for the structures above in their given order: 19.164, 14.988, 12.070, 10.645, 14.504, 13.733, 11.134, 10.849 Å³/atom.